# 1
Material: ScTl3As
Method: DFT, PBE
State: relaxed

POSCAR file:
```
ScTl3As
1.0
-4.822 0.056 -2.861
-1.878 -4.291 3.082
-2.159 3.609 3.709
Sc Tl As
1 3 1
Direct
0.000 0.000 0.000
0.000 0.500 0.000
0.000 0.000 0.500
0.500 0.000 0.000
0.500 0.500 0.500
```

space group: No. 221
VASP energy: -14.90 eV/cell
Fermi-level density of states: 0.87 states/eV/atom
calculated formation energy: 637 meV per atom

***

# 2
Material: Nd5ZnSb2
Method: DFT, PBE
State: relaxed

POSCAR file:
```
Nd5ZnSb2
1.0
6.058 0.000 0.000
-3.029 5.812 0.000
0.000 0.000 15.221
Nd Zn Sb
10 2 4
Direct
0.924 0.848 0.888
0.924 0.848 0.612
0.383 0.766 0.431
0.383 0.766 0.069
0.662 0.323 0.250
0.338 0.677 0.750
0.617 0.234 0.569
0.617 0.234 0.931
0.076 0.152 0.112
0.076 0.152 0.388
0.720 0.441 0.750
0.280 0.559 0.250
0.805 0.611 0.419
0.805 0.611 0.081
0.195 0.389 0.581
0.195 0.389 0.919
```

space group: No. 63
VASP energy: -72.59 eV/cell
Fermi-level density of states: 1.11 states/eV/atom

***

# 3
Material: HfTeSe
Method: DFT, PBE
State: relaxed

POSCAR file:
```
HfTeSe
1.0
-3.405 1.736 0.630
-0.093 2.121 -6.346
-1.594 -7.691 0.671
Hf Te Se
2 2 2
Direct
0.749 0.758 0.499
0.251 0.242 0.501
0.620 0.301 0.241
0.380 0.699 0.759
0.141 0.813 0.282
0.859 0.187 0.718
```

space group: No. 12
VASP energy: -39.70 eV/cell
Fermi-level density of states: 0.10 states/eV/atom

***

# 4
Material: Pr3SnRh4
Method: DFT, PBE
State: relaxed

POSCAR file:
```
Pr3SnRh4
1.0
4.070 0.000 0.000
0.000 6.048 0.000
-2.035 -3.024 7.865
Pr Sn Rh
3 1 4
Direct
0.195 0.195 0.390
0.805 0.805 0.610
0.000 0.500 0.000
0.500 0.000 0.000
0.377 0.162 0.754
0.623 0.838 0.246
0.623 0.408 0.246
0.377 0.592 0.754
```

space group: No. 71
VASP energy: -52.17 eV/cell
Fermi-level density of states: 0.45 states/eV/atom
calculated formation energy: -553 meV per atom

***

Number 1 is which compound?
ScTl3As

***

Among the records above, which one has the highest VASP energy?
ScTl3As

***

Among the records above, which one has the highest Fermi-level density of states?
Nd5ZnSb2

***

Please write out number 3 again, unchanged.
Material: HfTeSe
Method: DFT, PBE
State: relaxed

POSCAR file:
```
HfTeSe
1.0
-3.405 1.736 0.630
-0.093 2.121 -6.346
-1.594 -7.691 0.671
Hf Te Se
2 2 2
Direct
0.749 0.758 0.499
0.251 0.242 0.501
0.620 0.301 0.241
0.380 0.699 0.759
0.141 0.813 0.282
0.859 0.187 0.718
```

space group: No. 12
VASP energy: -39.70 eV/cell
Fermi-level density of states: 0.10 states/eV/atom